The following is a PBE+U calculation of crystalline Rb2ZnCrO4 at its relaxed geometry, from Alexandria via LeMat-Bulk.

magnetization	0.250	μB/atom
E_tot	-5.282	eV/atom
calculated density	3.61	g/cm³

Cell: 5.1250 12.1804 20.7712 Å, 90.00 90.00 90.00°
Space group Fddd (No. 70, origin choice 2)
Symmetry-distinct sites (fractional):
Rb  0.1250  0.1250  0.2993 x16
Zn  0.1250  0.1250  0.1250 x8
Cr  0.1250  0.1250  0.6250 x8
O  0.1006  0.2897  0.8293 x32